Compound: CoW3O
Source: the Alexandria database
Functional: PBE with a Hubbard U
Structure: relaxed

abc: 4.5201 4.5201 4.5201
angles: 90.00 90.00 90.00
Fractional coordinates of all 5 atoms:
O 0.5000 0.5000 0.5000
Co 0.0000 0.0000 0.0000
W 0.5000 0.0000 0.0000
W 0.0000 0.0000 0.5000
W 0.0000 0.5000 0.0000

Computed properties:
Its total magnetic moment is 0.243 μB/atom. The crystal system is cubic. The value obtained for the relative energy among the computed polymorphs is 1464 meV/atom. The value obtained for the calculated total energy is -19.83 eV for the cell shown. The density of states at the Fermi level is 0.44 states/eV/atom.